Entry 1:
# TaP2Ir (PBE, optimized geometry)
# ΔH_f (0 K) ... -0.435 eV per atom
# DOS at the Fermi energy ... 1.40 states/eV per cell
# Crystal system ... orthorhombic
# E above lowest polymorph ... 23.1 kJ/mol of formula units
# M_tot ... 0.00 μB per cell
data_TaP2Ir
_space_group_name_H-M_alt 'P m m 2'
_space_group_IT_number 25
_cell_length_a 3.078
_cell_length_b 4.543
_cell_length_c 4.215
_cell_angle_alpha 90.00
_cell_angle_beta 90.00
_cell_angle_gamma 90.00
loop_
_space_group_symop_operation_xyz
'x,y,z'
'-x,-y,z'
'-x,y,z'
'x,-y,z'
loop_
_atom_site_label
_atom_site_fract_x
_atom_site_fract_y
_atom_site_fract_z
Ta1 0.000 0.000 0.000
P1 0.000 0.500 0.252
P2 0.500 0.000 0.507
Ir1 0.500 0.500 0.753

---

Entry 2:
# TaPIr2 (PBE, optimized geometry)
# ΔH_f (0 K) ... -0.287 eV per atom
# DOS at the Fermi energy ... 3.17 states/eV per cell
# Crystal system ... monoclinic
# M_tot ... 0.00 μB per cell
data_TaPIr2
_space_group_name_H-M_alt 'C 1 2/m 1'
_space_group_IT_number 12
_cell_length_a 9.484
_cell_length_b 2.824
_cell_length_c 4.535
_cell_angle_alpha 90.00
_cell_angle_beta 90.13
_cell_angle_gamma 90.00
loop_
_space_group_symop_operation_xyz
'x,y,z'
'-x,-y,-z'
'-x,y,-z'
'x,-y,z'
'x+1/2,y+1/2,z'
'-x+1/2,-y+1/2,-z'
'-x+1/2,y+1/2,-z'
'x+1/2,-y+1/2,z'
loop_
_atom_site_label
_atom_site_fract_x
_atom_site_fract_y
_atom_site_fract_z
Ta1 0.000 0.000 0.000
P1 0.000 0.500 0.500
Ir1 0.228 0.500 0.754

---

Entry 3:
# TaP2Ir (PBE, optimized geometry)
# ΔH_f (0 K) ... -0.377 eV per atom
# DOS at the Fermi energy ... 3.51 states/eV per cell
# Crystal system ... monoclinic
# E above lowest polymorph ... 45.5 kJ/mol of formula units
# M_tot ... 0.00 μB per cell
data_TaP2Ir
_space_group_name_H-M_alt 'C 1 m 1'
_space_group_IT_number 8
_cell_length_a 8.982
_cell_length_b 3.129
_cell_length_c 4.246
_cell_angle_alpha 90.00
_cell_angle_beta 103.31
_cell_angle_gamma 90.00
loop_
_space_group_symop_operation_xyz
'x,y,z'
'x,-y,z'
'x+1/2,y+1/2,z'
'x+1/2,-y+1/2,z'
loop_
_atom_site_label
_atom_site_fract_x
_atom_site_fract_y
_atom_site_fract_z
Ta1 0.000 0.000 0.000
P1 0.237 0.500 0.125
P2 0.482 0.000 0.497
Ir1 0.229 0.000 0.592

---

Entry 4:
# Ta2PIr2 (PBE, optimized geometry)
# ΔH_f (0 K) ... -0.173 eV per atom
# DOS at the Fermi energy ... 7.49 states/eV per cell
# Crystal system ... tetragonal
# E above lowest polymorph ... 15.9 kJ/mol of formula units
# M_tot ... 0.00 μB per cell
data_Ta2PIr2
_space_group_name_H-M_alt 'P 4/m b m'
_space_group_IT_number 127
_space_group_name_Hall '-P 4 2ab'
_cell_length_a 7.582
_cell_length_b 7.582
_cell_length_c 2.989
_cell_angle_alpha 90.00
_cell_angle_beta 90.00
_cell_angle_gamma 90.00
loop_
_atom_site_label
_atom_site_fract_x
_atom_site_fract_y
_atom_site_fract_z
Ta1 0.165 0.335 0.000
P1 0.000 0.000 0.000
Ir1 0.130 0.630 0.500

---

Entry 5:
# TaP2Ir (PBE, optimized geometry)
# ΔH_f (0 K) ... -0.039 eV per atom
# DOS at the Fermi energy ... 14.43 states/eV per cell
# Crystal system ... trigonal
# E above lowest polymorph ... 175.9 kJ/mol of formula units
# M_tot ... 0.00 μB per cell
data_TaP2Ir
_space_group_name_H-M_alt 'R -3 m'
_space_group_IT_number 166
_space_group_name_Hall '-R 3 2"'
_cell_length_a 2.9562
_cell_length_b 2.9562
_cell_length_c 23.3537
_cell_angle_alpha 90.00
_cell_angle_beta 90.00
_cell_angle_gamma 120.00
loop_
_atom_site_label
_atom_site_fract_x
_atom_site_fract_y
_atom_site_fract_z
Ta1 0.0000 0.0000 0.0000
P1 0.0000 0.0000 0.2464
Ir1 0.0000 0.0000 0.5000

---

Entry 6:
# TaPIr2 (PBE, optimized geometry)
# ΔH_f (0 K) ... -0.287 eV per atom
# DOS at the Fermi energy ... 2.44 states/eV per cell
# Crystal system ... orthorhombic
# M_tot ... 0.00 μB per cell
data_TaPIr2
_space_group_name_H-M_alt 'P m m m'
_space_group_IT_number 47
_cell_length_a 2.950
_cell_length_b 3.795
_cell_length_c 5.410
_cell_angle_alpha 90.00
_cell_angle_beta 90.00
_cell_angle_gamma 90.00
loop_
_space_group_symop_operation_xyz
'x,y,z'
'-x,-y,-z'
'-x,-y,z'
'x,y,-z'
'x,-y,-z'
'-x,y,z'
'-x,y,-z'
'x,-y,z'
loop_
_atom_site_label
_atom_site_fract_x
_atom_site_fract_y
_atom_site_fract_z
Ta1 0.000 0.000 0.000
P1 0.000 0.000 0.500
Ir1 0.500 0.500 0.252

---

Entry 7:
# Ta4PIr (PBE, optimized geometry)
# ΔH_f (0 K) ... 0.560 eV per atom
# DOS at the Fermi energy ... 20.84 states/eV per cell
# Crystal system ... cubic
# M_tot ... 0.00 μB per cell
data_Ta4PIr
_space_group_name_H-M_alt 'F -4 3 m'
_space_group_IT_number 216
_space_group_name_Hall 'F -4 2 3'
_cell_length_a 7.570
_cell_length_b 7.570
_cell_length_c 7.570
_cell_angle_alpha 90.00
_cell_angle_beta 90.00
_cell_angle_gamma 90.00
loop_
_atom_site_label
_atom_site_fract_x
_atom_site_fract_y
_atom_site_fract_z
Ta1 0.125 0.125 0.125
P1 0.000 0.000 0.500
Ir1 0.250 0.250 0.750

---

Entry 8:
# TaPIr2 (PBE, optimized geometry)
# ΔH_f (0 K) ... -0.080 eV per atom
# DOS at the Fermi energy ... 2.98 states/eV per cell
# Crystal system ... tetragonal
# M_tot ... 0.00 μB per cell
data_TaPIr2
_space_group_name_H-M_alt 'I -4 2 d'
_space_group_IT_number 122
_space_group_name_Hall 'I -4 2bw'
_cell_length_a 5.500
_cell_length_b 5.500
_cell_length_c 11.020
_cell_angle_alpha 90.00
_cell_angle_beta 90.00
_cell_angle_gamma 90.00
loop_
_atom_site_label
_atom_site_fract_x
_atom_site_fract_y
_atom_site_fract_z
Ta1 0.000 0.000 0.000
P1 0.000 0.000 0.500
Ir1 0.209 0.250 0.625

---

Entry 9:
# TaP2Ir (PBE, optimized geometry)
# ΔH_f (0 K) ... -0.495 eV per atom
# DOS at the Fermi energy ... 3.12 states/eV per cell
# Crystal system ... orthorhombic
# E above lowest polymorph ... 0.0 kJ/mol of formula units
# M_tot ... 0.00 μB per cell
data_TaP2Ir
_space_group_name_H-M_alt 'I m m 2'
_space_group_IT_number 44
_cell_length_a 3.370
_cell_length_b 3.376
_cell_length_c 10.523
_cell_angle_alpha 90.00
_cell_angle_beta 90.00
_cell_angle_gamma 90.00
loop_
_space_group_symop_operation_xyz
'x,y,z'
'-x,-y,z'
'-x,y,z'
'x,-y,z'
'x+1/2,y+1/2,z+1/2'
'-x+1/2,-y+1/2,z+1/2'
'-x+1/2,y+1/2,z+1/2'
'x+1/2,-y+1/2,z+1/2'
loop_
_atom_site_label
_atom_site_fract_x
_atom_site_fract_y
_atom_site_fract_z
Ta1 0.000 0.000 0.000
P1 0.000 0.000 0.414
P2 0.000 0.500 0.678
Ir1 0.000 0.500 0.242

---

Entry 10:
# TaP2Ir (PBE, optimized geometry)
# ΔH_f (0 K) ... -0.169 eV per atom
# DOS at the Fermi energy ... 5.57 states/eV per cell
# Crystal system ... trigonal
# E above lowest polymorph ... 125.8 kJ/mol of formula units
# M_tot ... 0.00 μB per cell
data_TaP2Ir
_space_group_name_H-M_alt 'R 3 m'
_space_group_IT_number 160
_space_group_name_Hall 'R 3 -2"'
_cell_length_a 3.0946
_cell_length_b 3.0946
_cell_length_c 21.9937
_cell_angle_alpha 90.00
_cell_angle_beta 90.00
_cell_angle_gamma 120.00
loop_
_atom_site_label
_atom_site_fract_x
_atom_site_fract_y
_atom_site_fract_z
Ta1 0.0000 0.0000 0.0000
P1 0.0000 0.0000 0.2531
P2 0.0000 0.0000 0.5077
Ir1 0.0000 0.0000 0.7680

---

Entry 11:
# Ta2PIr2 (PBE, optimized geometry)
# ΔH_f (0 K) ... -0.206 eV per atom
# DOS at the Fermi energy ... 5.13 states/eV per cell
# Crystal system ... tetragonal
# E above lowest polymorph ... 0.0 kJ/mol of formula units
# M_tot ... 0.00 μB per cell
data_Ta2PIr2
_space_group_name_H-M_alt 'P 4/m b m'
_space_group_IT_number 127
_space_group_name_Hall '-P 4 2ab'
_cell_length_a 7.712
_cell_length_b 7.712
_cell_length_c 2.889
_cell_angle_alpha 90.00
_cell_angle_beta 90.00
_cell_angle_gamma 90.00
loop_
_atom_site_label
_atom_site_fract_x
_atom_site_fract_y
_atom_site_fract_z
Ta1 0.159 0.341 0.000
P1 0.000 0.000 0.500
Ir1 0.135 0.635 0.500

---

Entry 12:
# TaP2Ir (PBE, optimized geometry)
# ΔH_f (0 K) ... -0.430 eV per atom
# DOS at the Fermi energy ... 1.29 states/eV per cell
# Crystal system ... tetragonal
# E above lowest polymorph ... 24.8 kJ/mol of formula units
# M_tot ... 0.00 μB per cell
data_TaP2Ir
_space_group_name_H-M_alt 'P 4 m m'
_space_group_IT_number 99
_cell_length_a 3.353
_cell_length_b 3.353
_cell_length_c 5.296
_cell_angle_alpha 90.00
_cell_angle_beta 90.00
_cell_angle_gamma 90.00
loop_
_space_group_symop_operation_xyz
'x,y,z'
'-y,x,z'
'-x,-y,z'
'y,-x,z'
'-x,y,z'
'y,x,z'
'x,-y,z'
'-y,-x,z'
loop_
_atom_site_label
_atom_site_fract_x
_atom_site_fract_y
_atom_site_fract_z
Ta1 0.000 0.000 0.000
P1 0.000 0.000 0.493
P2 0.500 0.500 0.825
Ir1 0.500 0.500 0.360

---

Entry 13:
# TaPIr2 (PBE, optimized geometry)
# ΔH_f (0 K) ... -0.142 eV per atom
# DOS at the Fermi energy ... 3.58 states/eV per cell
# Crystal system ... orthorhombic
# M_tot ... 0.00 μB per cell
data_TaPIr2
_space_group_name_H-M_alt 'C m m m'
_space_group_IT_number 65
_space_group_name_Hall '-C 2 2'
_cell_length_a 5.475
_cell_length_b 7.621
_cell_length_c 2.906
_cell_angle_alpha 90.00
_cell_angle_beta 90.00
_cell_angle_gamma 90.00
loop_
_atom_site_label
_atom_site_fract_x
_atom_site_fract_y
_atom_site_fract_z
Ta1 0.000 0.000 0.000
P1 0.000 0.500 0.000
Ir1 0.250 0.250 0.500

---

Entry 14:
# TaTcP2Ir (PBE, optimized geometry)
# ΔH_f (0 K) ... 1.281 eV per atom
# DOS at the Fermi energy ... 4.17 states/eV per cell
# Crystal system ... tetragonal
# M_tot ... 3.25 μB per cell
data_TaTcP2Ir
_space_group_name_H-M_alt 'P 4/m m m'
_space_group_IT_number 123
_space_group_name_Hall '-P 4 2'
_cell_length_a 4.699
_cell_length_b 4.699
_cell_length_c 4.855
_cell_angle_alpha 90.00
_cell_angle_beta 90.00
_cell_angle_gamma 90.00
loop_
_atom_site_label
_atom_site_fract_x
_atom_site_fract_y
_atom_site_fract_z
Ta1 0.000 0.000 0.000
Tc1 0.500 0.500 0.500
P1 0.000 0.500 0.000
Ir1 0.000 0.000 0.500

---

Entry 15:
# Tb14P24Ir33 (PBE, optimized geometry)
# ΔH_f (0 K) ... -0.975 eV per atom
# DOS at the Fermi energy ... 54.74 states/eV per cell
# Crystal system ... monoclinic
# M_tot ... 0.00 μB per cell
data_Tb14P24Ir33
_space_group_name_H-M_alt 'C 1 m 1'
_space_group_IT_number 8
_cell_length_a 23.735
_cell_length_b 3.944
_cell_length_c 26.810
_cell_angle_alpha 90.00
_cell_angle_beta 111.86
_cell_angle_gamma 90.00
loop_
_space_group_symop_operation_xyz
'x,y,z'
'x,-y,z'
'x+1/2,y+1/2,z'
'x+1/2,-y+1/2,z'
loop_
_atom_site_label
_atom_site_fract_x
_atom_site_fract_y
_atom_site_fract_z
Tb1 0.000 0.000 0.000
Tb2 0.000 0.000 0.497
Tb3 0.080 0.000 0.377
Tb4 0.084 0.000 0.877
Tb5 0.131 0.000 0.747
Tb6 0.134 0.000 0.249
Tb7 0.232 0.500 0.593
Tb8 0.235 0.500 0.094
Tb9 0.267 0.000 0.905
Tb10 0.269 0.000 0.403
Tb11 0.368 0.500 0.751
Tb12 0.369 0.500 0.253
Tb13 0.416 0.500 0.623
Tb14 0.418 0.500 0.123
P1 0.010 0.500 0.412
P2 0.016 0.500 0.915
P3 0.062 0.500 0.786
P4 0.064 0.500 0.288
P5 0.114 0.500 0.664
P6 0.116 0.500 0.166
P7 0.133 0.000 0.538
P8 0.134 0.000 0.039
P9 0.187 0.500 0.439
P10 0.189 0.500 0.939
P11 0.234 0.500 0.808
P12 0.239 0.500 0.307
P13 0.265 0.000 0.691
P14 0.267 0.000 0.191
P15 0.309 0.000 0.560
P16 0.313 0.000 0.061
P17 0.367 0.500 0.462
P18 0.367 0.500 0.960
P19 0.381 0.000 0.336
P20 0.385 0.000 0.834
P21 0.438 0.000 0.712
P22 0.439 0.000 0.214
P23 0.484 0.000 0.583
P24 0.486 0.000 0.084
Ir1 0.000 0.000 0.749
Ir2 0.003 0.000 0.252
Ir3 0.027 0.500 0.686
Ir4 0.028 0.500 0.189
Ir5 0.039 0.000 0.617
Ir6 0.042 0.000 0.120
Ir7 0.090 0.500 0.074
Ir8 0.090 0.500 0.573
Ir9 0.109 0.500 0.475
Ir10 0.113 0.500 0.979
Ir11 0.162 0.500 0.845
Ir12 0.163 0.000 0.637
Ir13 0.166 0.000 0.135
Ir14 0.166 0.500 0.346
Ir15 0.204 0.000 0.492
Ir16 0.205 0.000 0.992
Ir17 0.219 0.500 0.713
Ir18 0.221 0.500 0.211
Ir19 0.279 0.000 0.286
Ir20 0.280 0.000 0.786
Ir21 0.294 0.500 0.506
Ir22 0.296 0.500 0.007
Ir23 0.335 0.500 0.862
Ir24 0.337 0.000 0.653
Ir25 0.340 0.000 0.154
Ir26 0.386 0.000 0.523
Ir27 0.389 0.000 0.022
Ir28 0.404 0.000 0.428
Ir29 0.410 0.000 0.925
Ir30 0.447 0.500 0.375
Ir31 0.460 0.500 0.880
Ir32 0.473 0.000 0.812
Ir33 0.474 0.000 0.314

---

Entry 16:
# TbP2Ir4 (PBE, optimized geometry)
# ΔH_f (0 K) ... -0.670 eV per atom
# DOS at the Fermi energy ... 7.96 states/eV per cell
# Crystal system ... tetragonal
# M_tot ... 0.00 μB per cell
data_TbP2Ir4
_space_group_name_H-M_alt 'P 42/m n m'
_space_group_IT_number 136
_space_group_name_Hall '-P 4n 2n'
_cell_length_a 7.626
_cell_length_b 7.626
_cell_length_c 3.763
_cell_angle_alpha 90.00
_cell_angle_beta 90.00
_cell_angle_gamma 90.00
loop_
_atom_site_label
_atom_site_fract_x
_atom_site_fract_y
_atom_site_fract_z
Tb1 0.000 0.000 0.000
P1 0.233 0.233 0.500
Ir1 0.070 0.677 0.500

---

Entry 17:
# TbPIr3 (PBE, optimized geometry)
# ΔH_f (0 K) ... -0.787 eV per atom
# DOS at the Fermi energy ... 8.04 states/eV per cell
# Crystal system ... tetragonal
# M_tot ... 0.00 μB per cell
data_TbPIr3
_space_group_name_H-M_alt 'I 4 m m'
_space_group_IT_number 107
_space_group_name_Hall 'I 4 -2'
_cell_length_a 3.994
_cell_length_b 3.994
_cell_length_c 10.625
_cell_angle_alpha 90.00
_cell_angle_beta 90.00
_cell_angle_gamma 90.00
loop_
_atom_site_label
_atom_site_fract_x
_atom_site_fract_y
_atom_site_fract_z
Tb1 0.000 0.000 0.000
P1 0.000 0.000 0.625
Ir1 0.000 0.000 0.415
Ir2 0.000 0.500 0.242

---

Entry 18:
# TbP3Ir3 (PBE, optimized geometry)
# ΔH_f (0 K) ... -0.509 eV per atom
# DOS at the Fermi energy ... 6.99 states/eV per cell
# Crystal system ... cubic
# M_tot ... 0.00 μB per cell
data_TbP3Ir3
_space_group_name_H-M_alt 'P m -3 n'
_space_group_IT_number 223
_space_group_name_Hall '-P 4n 2 3'
_cell_length_a 6.446
_cell_length_b 6.446
_cell_length_c 6.446
_cell_angle_alpha 90.00
_cell_angle_beta 90.00
_cell_angle_gamma 90.00
loop_
_atom_site_label
_atom_site_fract_x
_atom_site_fract_y
_atom_site_fract_z
Tb1 0.000 0.000 0.000
P1 0.000 0.250 0.500
Ir1 0.000 0.500 0.250

---

Entry 19:
# Tb3P5Ir6 (PBE, optimized geometry)
# ΔH_f (0 K) ... -0.966 eV per atom
# DOS at the Fermi energy ... 12.28 states/eV per cell
# Crystal system ... orthorhombic
# M_tot ... 0.00 μB per cell
data_Tb3P5Ir6
_space_group_name_H-M_alt 'P m m n'
_space_group_IT_number 59
_cell_length_a 3.852
_cell_length_b 12.212
_cell_length_c 9.874
_cell_angle_alpha 90.00
_cell_angle_beta 90.00
_cell_angle_gamma 90.00
loop_
_space_group_symop_operation_xyz
'x,y,z'
'-x,-y,-z'
'-x+1/2,-y+1/2,z'
'x+1/2,y+1/2,-z'
'x+1/2,-y,-z'
'-x+1/2,y,z'
'-x,y+1/2,-z'
'x,-y+1/2,z'
loop_
_atom_site_label
_atom_site_fract_x
_atom_site_fract_y
_atom_site_fract_z
Tb1 0.250 0.098 0.240
Tb2 0.250 0.750 0.269
P1 0.250 0.079 0.840
P2 0.250 0.631 0.534
P3 0.250 0.750 0.880
Ir1 0.250 0.051 0.606
Ir2 0.250 0.250 0.480
Ir3 0.250 0.250 0.979
Ir4 0.250 0.582 0.024

---

Entry 20:
# Tb4P6Ir7 (PBE, optimized geometry)
# ΔH_f (0 K) ... -0.937 eV per atom
# DOS at the Fermi energy ... 11.49 states/eV per cell
# Crystal system ... cubic
# M_tot ... 0.00 μB per cell
data_Tb4P6Ir7
_space_group_name_H-M_alt 'I m -3 m'
_space_group_IT_number 229
_space_group_name_Hall '-I 4 2 3'
_cell_length_a 8.245
_cell_length_b 8.245
_cell_length_c 8.245
_cell_angle_alpha 90.00
_cell_angle_beta 90.00
_cell_angle_gamma 90.00
loop_
_atom_site_label
_atom_site_fract_x
_atom_site_fract_y
_atom_site_fract_z
Tb1 0.250 0.250 0.250
P1 0.000 0.000 0.325
Ir1 0.000 0.000 0.000
Ir2 0.000 0.250 0.500